Arrangement a

# MgW2S4 PBE relaxed
# Density of states at the Fermi level = 0.75 states/eV/atom
# SG = Fd-3m
data_MgW2S4
_chemical_formula_sum 'Mg2 W4 S8'
_symmetry_space_group_name_H-M 'P 1'
_symmetry_Int_Tables_number 1
_cell_length_a 7.232
_cell_length_b 7.232
_cell_length_c 7.232
_cell_angle_alpha 60.00
_cell_angle_beta 60.00
_cell_angle_gamma 60.00
loop_
_symmetry_equiv_pos_as_xyz
'x,y,z'
loop_
_atom_site_label
_atom_site_fract_x
_atom_site_fract_y
_atom_site_fract_z
_atom_site_occupancy
Mg1 0.125 0.125 0.125 1
Mg2 0.875 0.875 0.875 1
W1 0.000 0.500 0.500 1
W2 0.500 0.000 0.500 1
W3 0.500 0.500 0.000 1
W4 0.500 0.500 0.500 1
S1 0.259 0.259 0.259 1
S2 0.259 0.259 0.724 1
S3 0.259 0.724 0.259 1
S4 0.276 0.741 0.741 1
S5 0.724 0.259 0.259 1
S6 0.741 0.276 0.741 1
S7 0.741 0.741 0.276 1
S8 0.741 0.741 0.741 1

Arrangement b

# MgW2S4 PBE relaxed
# SG = Imm2
data_MgW2S4
_chemical_formula_sum 'Mg2 W4 S8'
_symmetry_space_group_name_H-M 'P 1'
_symmetry_Int_Tables_number 1
_cell_length_a 6.912
_cell_length_b 6.912
_cell_length_c 6.912
_cell_angle_alpha 116.99
_cell_angle_beta 111.44
_cell_angle_gamma 100.41
loop_
_symmetry_equiv_pos_as_xyz
'x,y,z'
loop_
_atom_site_label
_atom_site_fract_x
_atom_site_fract_y
_atom_site_fract_z
_atom_site_occupancy
Mg1 0.000 0.000 0.000 1
Mg2 0.911 0.411 0.500 1
W1 0.428 0.214 0.787 1
W2 0.428 0.641 0.213 1
W3 0.436 0.637 0.800 1
W4 0.837 0.637 0.200 1
S1 0.141 0.431 0.290 1
S2 0.141 0.851 0.710 1
S3 0.149 0.361 0.788 1
S4 0.211 0.912 0.300 1
S5 0.572 0.361 0.212 1
S6 0.612 0.912 0.700 1
S7 0.696 0.456 0.760 1
S8 0.696 0.937 0.240 1

So which one is most stable? That would be arrangement b, about 0.271 eV/atom below the next structure.

Arrangement a

# MgW3S PBE relaxed
# Density of states at the Fermi level = 0.68 states/eV/atom
# SG = Pm-3m
data_MgW3S
_chemical_formula_sum 'Mg1 W3 S1'
_symmetry_space_group_name_H-M 'P 1'
_symmetry_Int_Tables_number 1
_cell_length_a 4.455
_cell_length_b 4.455
_cell_length_c 4.455
_cell_angle_alpha 90.00
_cell_angle_beta 90.00
_cell_angle_gamma 90.00
loop_
_symmetry_equiv_pos_as_xyz
'x,y,z'
loop_
_atom_site_label
_atom_site_fract_x
_atom_site_fract_y
_atom_site_fract_z
_atom_site_occupancy
Mg1 0.000 0.000 0.000 1
W1 0.000 0.500 0.500 1
W2 0.500 0.000 0.500 1
W3 0.500 0.500 0.000 1
S1 0.500 0.500 0.500 1

Arrangement b

# MgW3S PBE relaxed
# Density of states at the Fermi level = 1.55 states/eV/atom
# SG = Pm-3m
data_MgW3S
_chemical_formula_sum 'Mg1 W3 S1'
_symmetry_space_group_name_H-M 'P 1'
_symmetry_Int_Tables_number 1
_cell_length_a 4.618
_cell_length_b 4.618
_cell_length_c 4.618
_cell_angle_alpha 90.00
_cell_angle_beta 90.00
_cell_angle_gamma 90.00
loop_
_symmetry_equiv_pos_as_xyz
'x,y,z'
loop_
_atom_site_label
_atom_site_fract_x
_atom_site_fract_y
_atom_site_fract_z
_atom_site_occupancy
Mg1 0.000 0.000 0.000 1
W1 0.000 0.000 0.500 1
W2 0.000 0.500 0.000 1
W3 0.500 0.000 0.000 1
S1 0.500 0.500 0.500 1

So which one is most stable? That would be arrangement a, about 2.117 eV/atom below the next structure.